[1]
Below is a relaxed structure of Nd8GeSb3Te4, with properties calculated at the PBE-GGA level.

```
16
Lattice="-3.0891 7.0892 -4.5607 -8.2346 -1.4137 3.3801 7.0068 0.9295 5.5353" Properties=species:S:1:pos:R:3 pbc="T T T"
Nd 0.6269 1.8990 2.5273
Nd -2.9146 1.3564 -0.1789
Nd -4.9439 4.7060 1.8273
Nd -1.4023 5.2487 4.5335
Nd -4.5140 5.0267 -2.5402
Nd -3.4304 1.0978 4.0300
Nd 0.1970 1.5783 6.8948
Nd -0.8865 5.5072 0.3246
Te 1.9588 4.0094 0.4873
Te 0.0000 0.0000 0.0000
Te -1.5445 3.5446 -2.2804
Te 3.5034 0.4647 2.7676
Ge -4.1173 -0.7068 1.6900
Sb -2.1585 3.3025 2.1773
Sb -5.6619 2.8378 -0.5903
Sb -0.6139 -0.2421 4.4577
```

Output
ΔE_f (raw) (kJ/mol of formula units): -2046
E_tot (eV/atom): -5.556
Crystal system: trigonal


[2]
Below is a relaxed structure of ScPaNiPt, with properties calculated at the PBE-GGA level.

```
4
Lattice="4.7710 0.0000 0.0000 2.3855 4.1318 0.0000 2.3855 1.3773 3.8955" Properties=species:S:1:pos:R:3 pbc="T T T"
Pa 4.7710 2.7546 1.9478
Ni 7.1566 4.1318 2.9217
Sc 0.0000 0.0000 0.0000
Pt 2.3855 1.3773 0.9739
```

Output
E_tot (eV/atom): -7.512
Formation energy from the elements (eV/atom): -0.600
Crystal system: cubic


[3]
Below is a relaxed structure of LaNdLuCd, with properties calculated at the PBE-GGA level.

```
4
Lattice="5.5746 0.0000 0.0000 2.7873 4.8278 0.0000 2.7873 1.6093 4.5516" Properties=species:S:1:pos:R:3 pbc="T T T"
Cd 8.3619 4.8278 3.4137
Lu 2.7873 1.6093 1.1379
La 0.0000 0.0000 0.0000
Nd 5.5746 3.2185 2.2758
```

Output
E_tot (eV/atom): -3.855
Formation energy from the elements (eV/atom): -0.073
Crystal system: cubic


Question: Look up the E_tot of the first one.
Answer: -5.556 eV/atom